# Tb6Nd12Th

An optimized crystal structure of Tb6Nd12Th (PBE, the Alexandria database).

Cell lengths 13.3685, 13.3685, 12.9421 Å; angles 90.00, 90.00, 120.00 degrees
Space group R-3m (No. 166, hexagonal axes)
Unique sites:
Tb 0.0878 0.1757 0.2726 (multiplicity 18)
Nd 0.0000 0.2625 0.5000 (multiplicity 18)
Nd 0.0575 0.5287 0.6129 (multiplicity 18)
Th 0.0000 0.0000 0.5000 (multiplicity 3)

Calculated values
- N(E_F) (states/eV per cell) = 78.85
- raw total energy (eV per atom) = -4.74

---

# Tb3Nd2Th2

An optimized crystal structure of Tb3Nd2Th2 (PBE, the Alexandria database).

Cell lengths 17.681, 3.469, 8.685 Å; angles 90.00, 119.33, 90.00 degrees
Space group C2/m (No. 12)
Unique sites:
Tb 0.000 0.000 0.000 (multiplicity 2)
Tb 0.216 0.000 0.135 (multiplicity 4)
Nd 0.063 0.500 0.715 (multiplicity 4)
Th 0.154 0.000 0.456 (multiplicity 4)

Calculated values
- N(E_F) (states/eV per cell) = 20.70
- energy relative to the lowest polymorph listed for this composition (eV/atom) = 0.107